Entry from Alexandria via LeMat-Bulk: a geometry-optimized Li4Mn3Fe3Sb2O16 structure (PBEsol).

Output
Space-group type: Cm, No. 8
Formation energy from raw total energies: -45.5 eV per formula unit

a b c (Å): 5.671 5.671 9.642
angles (deg): 90.24 90.24 60.00
Atoms (fractional coordinates):
Li  0.000  0.000  0.000
Li  0.002  0.002  0.503
Li  0.332  0.332  0.594
Li  0.665  0.665  0.094
Mn  0.169  0.656  0.279
Mn  0.656  0.169  0.279
Mn  0.826  0.826  0.778
Fe  0.175  0.175  0.279
Fe  0.349  0.822  0.778
Fe  0.822  0.349  0.778
Sb  0.330  0.330  0.999
Sb  0.664  0.664  0.502
O  0.000  0.000  0.186
O  0.029  0.486  0.161
O  0.156  0.156  0.890
O  0.157  0.682  0.890
O  0.315  0.843  0.392
O  0.337  0.337  0.388
O  0.483  0.483  0.161
O  0.486  0.029  0.161
O  0.514  0.968  0.658
O  0.515  0.515  0.660
O  0.668  0.668  0.890
O  0.682  0.157  0.890
O  0.840  0.840  0.394
O  0.843  0.315  0.392
O  0.968  0.514  0.658
O  0.999  0.999  0.688

***

Entry from Alexandria via LeMat-Bulk: a geometry-optimized LiFeMo2 structure (PBEsol).

Output
Offset from the most stable computed form: 0.110 eV/atom
Space-group type: P4mm, No. 99

a b c (Å): 2.748 2.748 7.062
angles (deg): 90.00 90.00 90.00
Atoms (fractional coordinates):
Li  0.000  0.000  0.000
Fe  0.500  0.500  0.783
Mo  0.000  0.000  0.585
Mo  0.500  0.500  0.275

***

Entry from Alexandria via LeMat-Bulk: a geometry-optimized LiFeMo2 structure (PBEsol).

Output
Offset from the most stable computed form: 0.058 eV/atom
Space-group type: P4/mmm, No. 123

a b c (Å): 2.603 2.603 8.296
angles (deg): 90.00 90.00 90.00
Atoms (fractional coordinates):
Li  0.000  0.000  0.000
Fe  0.000  0.000  0.500
Mo  0.500  0.500  0.286
Mo  0.500  0.500  0.714

***

Entry from Alexandria via LeMat-Bulk: a geometry-optimized LiFeMo2 structure (PBEsol).

Output
Offset from the most stable computed form: 0.182 eV/atom
Space-group type: P4/mmm, No. 123

a b c (Å): 3.180 3.180 5.261
angles (deg): 90.00 90.00 90.00
Atoms (fractional coordinates):
Li  0.000  0.000  0.000
Fe  0.000  0.000  0.500
Mo  0.500  0.500  0.270
Mo  0.500  0.500  0.730

***

Entry from Alexandria via LeMat-Bulk: a geometry-optimized LiFeMo2 structure (PBEsol).

Output
Offset from the most stable computed form: 0.000 eV/atom
Space-group type: Pm, No. 6

a b c (Å): 2.544 4.254 4.926
angles (deg): 90.00 97.01 90.00
Atoms (fractional coordinates):
Li  0.000  0.000  0.000
Fe  0.147  0.500  0.742
Mo  0.452  0.000  0.512
Mo  0.680  0.500  0.234

***

Entry from Alexandria via LeMat-Bulk: a geometry-optimized LiFeMo2 structure (PBEsol).

Output
Offset from the most stable computed form: 0.030 eV/atom
Space-group type: P2/m, No. 10

a b c (Å): 2.538 4.240 5.072
angles (deg): 90.00 101.49 90.00
Atoms (fractional coordinates):
Li  0.000  0.000  0.000
Fe  0.500  0.000  0.500
Mo  0.235  0.500  0.746
Mo  0.765  0.500  0.254

***

Entry from Alexandria via LeMat-Bulk: a geometry-optimized Na2LiFeMo structure (PBEsol).

Output
Space-group type: P4/mmm, No. 123
E_tot: -15.2 eV/cell

a b c (Å): 5.560 5.560 4.950
angles (deg): 90.00 90.00 90.00
Atoms (fractional coordinates):
Na  0.000  0.500  0.000
Na  0.500  0.000  0.000
Li  0.000  0.000  0.500
Fe  0.500  0.500  0.500
Mo  0.000  0.000  0.000

***

Entry from Alexandria via LeMat-Bulk: a geometry-optimized LiFeN3 structure (PBEsol).

Output
Space-group type: Pm-3m, No. 221
Formation energy from raw total energies: 4.1 eV per formula unit

a b c (Å): 3.629 3.629 3.629
angles (deg): 90.00 90.00 90.00
Atoms (fractional coordinates):
Li  0.000  0.000  0.000
Fe  0.500  0.500  0.500
N  0.000  0.500  0.500
N  0.500  0.000  0.500
N  0.500  0.500  0.000

***

Entry from Alexandria via LeMat-Bulk: a geometry-optimized LiFeN structure (PBEsol).

Output
Space-group type: Pmn2_1, No. 31
Formation energy from raw total energies: -1.5 eV per formula unit

a b c (Å): 2.842 4.598 4.252
angles (deg): 90.00 90.00 90.00
Atoms (fractional coordinates):
Li  0.000  0.005  0.000
Li  0.500  0.995  0.500
Fe  0.000  0.478  0.682
Fe  0.500  0.522  0.182
N  0.000  0.712  0.347
N  0.500  0.288  0.847

***

Entry from Alexandria via LeMat-Bulk: a geometry-optimized LiFeN2 structure (PBEsol).

Output
Offset from the most stable computed form: 0.000 eV/atom
Space-group type: I-42d, No. 122
Formation energy from raw total energies: -1.0 eV per formula unit

a b c (Å): 4.517 4.517 8.036
angles (deg): 90.00 90.00 90.00
Atoms (fractional coordinates):
Li  0.000  0.000  0.000
Li  0.000  0.500  0.250
Li  0.500  0.000  0.750
Li  0.500  0.500  0.500
Fe  0.000  0.000  0.500
Fe  0.000  0.500  0.750
Fe  0.500  0.000  0.250
Fe  0.500  0.500  0.000
N  0.184  0.250  0.625
N  0.250  0.684  0.875
N  0.250  0.816  0.375
N  0.316  0.250  0.125
N  0.684  0.750  0.125
N  0.750  0.184  0.375
N  0.750  0.316  0.875
N  0.816  0.750  0.625

***

Entry from Alexandria via LeMat-Bulk: a geometry-optimized LiFeN structure (PBEsol).

Output
Space-group type: Pnma, No. 62
Formation energy from raw total energies: -1.4 eV per formula unit

a b c (Å): 9.271 2.846 4.255
angles (deg): 90.00 90.00 90.00
Atoms (fractional coordinates):
Li  0.001  0.250  0.238
Li  0.499  0.750  0.738
Li  0.501  0.250  0.262
Li  0.999  0.750  0.762
Fe  0.242  0.750  0.043
Fe  0.258  0.250  0.543
Fe  0.742  0.750  0.457
Fe  0.758  0.250  0.957
N  0.146  0.250  0.884
N  0.354  0.750  0.384
N  0.646  0.250  0.616
N  0.854  0.750  0.116

***

Entry from Alexandria via LeMat-Bulk: a geometry-optimized LiFeN2 structure (PBEsol).

Output
Offset from the most stable computed form: 0.367 eV/atom
Space-group type: R-3m, No. 166
Formation energy from raw total energies: 0.4 eV per formula unit

a b c (Å): 2.774 2.774 17.540
angles (deg): 90.00 90.00 120.00
Atoms (fractional coordinates):
Li  0.000  0.000  0.000
Li  0.333  0.667  0.667
Li  0.667  0.333  0.333
Fe  0.000  0.000  0.500
Fe  0.333  0.667  0.167
Fe  0.667  0.333  0.833
N  0.000  0.000  0.106
N  0.000  0.000  0.894
N  0.333  0.667  0.561
N  0.333  0.667  0.773
N  0.667  0.333  0.227
N  0.667  0.333  0.439

***

Calculated magnetization, 9.02, 0.00, 0.54, 1.49, 1.74, 1.71, 7.41, 1.52, 0.00, 0.00, 0.00, 7.09 μB/cell (same order as the records).